(A)
Below is a relaxed PmMg3Rh crystal, with properties calculated at the PBE level.

Cell: 4.943 4.943 4.943 Å, 90.00 90.00 90.00°
Atoms (fractional coordinates):
1 Pm 0.000 0.000 0.000
2 Mg 0.000 0.500 0.500
3 Mg 0.500 0.000 0.500
4 Mg 0.500 0.500 0.000
5 Rh 0.500 0.500 0.500

Its space group is Pm-3m (221).


(B)
Below is a relaxed PmMg3Rh crystal, with properties calculated at the PBE level.

Cell: 5.495 5.920 7.359 Å, 90.00 108.07 90.00°
Atoms (fractional coordinates):
1 Pm 0.098 0.250 0.398
2 Pm 0.902 0.750 0.602
3 Mg 0.029 0.250 0.886
4 Mg 0.494 0.501 0.205
5 Mg 0.494 0.999 0.205
6 Mg 0.506 0.001 0.795
7 Mg 0.506 0.499 0.795
8 Mg 0.971 0.750 0.114
9 Rh 0.335 0.750 0.469
10 Rh 0.665 0.250 0.531

Its space group is P2_1/m (11).


Most stable to least stable, the ends of the list are (B) and (A).


(A)
Below is a relaxed Pm2Mg2Rh crystal, with properties calculated at the PBE level.

Cell: 6.556 6.556 7.415 Å, 103.55 103.55 114.31°
Atoms (fractional coordinates):
1 Pm 0.139 0.727 0.740
2 Pm 0.273 0.861 0.260
3 Pm 0.727 0.139 0.740
4 Pm 0.861 0.273 0.260
5 Mg 0.241 0.241 0.636
6 Mg 0.311 0.311 0.091
7 Mg 0.689 0.689 0.909
8 Mg 0.759 0.759 0.364
9 Rh 0.380 0.620 0.500
10 Rh 0.620 0.380 0.500

Its space group is C2/m (12).


(B)
Below is a relaxed Pm2Mg2Rh crystal, with properties calculated at the PBE level.

Cell: 6.060 6.060 6.060 Å, 132.64 128.80 72.30°
Atoms (fractional coordinates):
1 Pm 0.184 0.184 0.000
2 Pm 0.816 0.816 0.000
3 Mg 0.255 0.500 0.755
4 Mg 0.745 0.500 0.245
5 Rh 0.500 0.000 0.500

Its space group is Immm (71).


Most stable to least stable, the ends of the list are (A) and (B).


(A)
Below is a relaxed Pm3MgRh3 crystal, with properties calculated at the PBE level.

Cell: 7.043 7.043 6.608 Å, 97.04 97.04 85.74°
Atoms (fractional coordinates):
1 Pm 0.190 0.810 0.000
2 Pm 0.282 0.718 0.500
3 Pm 0.301 0.301 0.990
4 Pm 0.699 0.699 0.010
5 Pm 0.718 0.282 0.500
6 Pm 0.810 0.190 0.000
7 Mg 0.215 0.215 0.450
8 Mg 0.785 0.785 0.550
9 Rh 0.001 0.496 0.736
10 Rh 0.053 0.053 0.711
11 Rh 0.496 0.001 0.736
12 Rh 0.504 0.999 0.264
13 Rh 0.947 0.947 0.289
14 Rh 0.999 0.504 0.264

Its space group is C2/m (12).


(B)
Below is a relaxed Pm3MgRh3 crystal, with properties calculated at the PBE level.

Cell: 5.686 5.686 14.050 Å, 90.00 90.00 136.36°
Atoms (fractional coordinates):
1 Pm 0.025 0.975 0.750
2 Pm 0.301 0.699 0.606
3 Pm 0.301 0.699 0.894
4 Pm 0.699 0.301 0.106
5 Pm 0.699 0.301 0.394
6 Pm 0.975 0.025 0.250
7 Mg 0.000 0.000 0.000
8 Mg 0.000 0.000 0.500
9 Rh 0.250 0.750 0.250
10 Rh 0.409 0.591 0.092
11 Rh 0.409 0.591 0.408
12 Rh 0.591 0.409 0.592
13 Rh 0.591 0.409 0.908
14 Rh 0.750 0.250 0.750

Its space group is Cmcm (63).


Most stable to least stable, the ends of the list are (B) and (A).